DFT (PBE) results for a relaxed structure of Zr4TlC2Se.

```
Zr4TlC2Se
1.0
3.4341 0.0000 0.0000
-1.7171 2.9741 0.0000
0.0000 0.0000 13.8682
C Se Tl Zr
2 1 1 4
Cartesian
0.0000 0.0000 3.7081
0.0000 0.0000 10.1601
1.7171 0.9913 6.9341
0.0000 1.9827 0.0000
1.7171 0.9913 2.5104
0.0000 1.9827 4.9650
0.0000 1.9827 8.9033
1.7171 0.9913 11.3578
```

Summary:
**SG**: P-6m2, No. 187
**Uncorrected energy**: -8.22 eV/atom
**Magnetization**: 0.0007 μB per atom

---

DFT (PBE) results for a relaxed structure of YTmCSe.

```
YTmCSe
1.0
3.7334 0.0000 0.0000
-1.8667 3.2332 0.0000
0.0000 0.0000 13.1656
C Se Tm Y
2 2 2 2
Cartesian
0.0000 0.0000 0.0275
0.0000 0.0000 6.6103
1.8667 1.0777 3.2624
0.0000 2.1555 9.8452
0.0000 2.1555 1.3150
1.8667 1.0777 7.8978
0.0000 2.1555 5.2693
1.8667 1.0777 11.8521
```

Summary:
**SG**: P6_3mc, No. 186
**Uncorrected energy**: -7.08 eV/atom
**Magnetization**: 0.0015 μB per atom

---

DFT (PBE) results for a relaxed structure of YTmCSe.

```
YTmCSe
1.0
3.7327 0.0000 0.0000
-1.8664 3.2327 0.0000
0.0000 0.0000 13.1700
C Se Tm Y
2 2 2 2
Cartesian
0.0000 0.0000 0.0000
0.0000 0.0000 6.5850
1.8664 1.0776 3.3435
0.0000 2.1551 9.8265
0.0000 2.1551 5.2935
1.8664 1.0776 7.8765
0.0000 2.1551 1.3389
1.8664 1.0776 11.8311
```

Summary:
**SG**: P-3m1, No. 164
**Uncorrected energy**: -7.08 eV/atom
**Magnetization**: 0.0012 μB per atom

---

DFT (PBE) results for a relaxed structure of YTm3C2Se2.

```
YTm3C2Se2
1.0
3.7159 0.0000 0.0000
-1.8580 3.2181 0.0000
0.0000 0.0000 13.1101
C Se Tm Y
2 2 3 1
Cartesian
0.0000 2.1454 0.0354
0.0000 2.1454 6.5510
0.0000 0.0000 3.2869
1.8580 1.0727 9.7893
1.8580 1.0727 1.3263
1.8580 1.0727 5.2522
0.0000 0.0000 7.8422
0.0000 0.0000 11.8022
```

Summary:
**SG**: P3m1, No. 156
**Uncorrected energy**: -6.84 eV/atom
**Magnetization**: 0.0009 μB per atom

---

DFT (PBE) results for a relaxed structure of Y3TmC2Se2.

```
Y3TmC2Se2
1.0
3.7491 0.0000 0.0000
-1.8746 3.2469 0.0000
0.0000 0.0000 13.2332
C Se Tm Y
2 2 1 3
Cartesian
0.0000 0.0000 0.0354
0.0000 0.0000 6.6126
1.8746 1.0823 3.2647
0.0000 2.1646 9.9343
0.0000 2.1646 1.3224
0.0000 2.1646 5.2735
1.8746 1.0823 7.9445
1.8746 1.0823 11.9287
```

Summary:
**SG**: P3m1, No. 156
**Uncorrected energy**: -7.33 eV/atom
**Magnetization**: 0.0010 μB per atom

---

DFT (PBE) results for a relaxed structure of YTmCSe.

```
YTmCSe
1.0
-0.1897 -3.2197 1.8785
1.1229 0.0205 -3.5594
12.4666 1.5653 3.9420
C Se Tm Y
2 2 2 2
Cartesian
3.0652 0.3849 0.9692
9.4014 1.1804 2.9728
0.2478 -2.1396 0.0659
6.9187 -0.2769 0.2242
2.5343 -0.8274 -1.1621
11.3030 0.2736 1.6106
4.5864 -1.5949 1.4377
8.3759 -1.1191 2.6360
```

Summary:
**SG**: P-6m2, No. 187
**Uncorrected energy**: -7.08 eV/atom
**Magnetization**: 0.0016 μB per atom

---

DFT (PBE) results for a relaxed structure of TmZrCSe.

```
TmZrCSe
1.0
-0.6291 0.4782 -3.4740
0.0588 -3.2911 1.3633
-12.6753 0.7683 2.4012
C Se Tm Zr
2 2 2 2
Cartesian
-6.2534 0.3790 1.1846
-12.5910 0.7632 2.3852
-3.6373 -0.5820 -1.2483
-9.7457 -1.4543 1.5647
-1.4204 -1.9589 -0.0124
-7.9874 -0.3184 -0.4242
-5.2740 -1.7254 0.7176
-11.8410 -0.0848 0.3058
```

Summary:
**SG**: P6_3mc, No. 186
**Uncorrected energy**: -7.60 eV/atom
**Magnetization**: 0.0019 μB per atom
**Energy above the lowest structure with this stoichiometry**: 0 meV per atom

---

DFT (PBE) results for a relaxed structure of Tm3ZrC2Se2.

```
Tm3ZrC2Se2
1.0
-2.7148 -2.3494 0.5425
3.4440 -1.1418 0.1383
0.3345 2.5486 12.7117
C Se Tm Zr
2 2 3 1
Cartesian
1.5591 -0.2641 6.6584
1.7227 0.9824 12.8759
0.0828 0.6308 3.1461
-0.4082 -0.0144 10.0466
-0.6293 -1.6991 1.6436
-0.5280 -0.9269 5.4951
0.2009 1.5304 7.6334
0.3019 2.3002 11.4730
```

Summary:
**SG**: P3m1, No. 156
**Uncorrected energy**: -7.09 eV/atom
**Magnetization**: 0.0008 μB per atom

---

DFT (PBE) results for a relaxed structure of TmZrCSe.

```
TmZrCSe
1.0
3.5667 0.0000 0.0000
-1.7833 3.0888 0.0000
0.0000 0.0000 12.9057
C Se Tm Zr
2 2 2 2
Cartesian
0.0000 0.0000 3.3623
0.0000 0.0000 9.5434
1.7833 1.0296 0.0000
0.0000 2.0592 6.4529
0.0000 2.0592 1.9758
0.0000 2.0592 10.9300
1.7833 1.0296 4.5142
1.7833 1.0296 8.3915
```

Summary:
**SG**: P-6m2, No. 187
**Uncorrected energy**: -7.59 eV/atom
**Magnetization**: 0.0015 μB per atom
**Energy above the lowest structure with this stoichiometry**: 9 meV per atom

---

DFT (PBE) results for a relaxed structure of TmZrCSe.

```
TmZrCSe
1.0
3.5797 0.0000 0.0000
-1.7898 3.1001 0.0000
0.0000 0.0000 12.8830
C Se Tm Zr
2 2 2 2
Cartesian
0.0000 0.0000 0.0000
0.0000 0.0000 6.4415
1.7898 1.0334 3.0889
0.0000 2.0667 9.7940
0.0000 2.0667 5.1393
1.7898 1.0334 7.7437
0.0000 2.0667 1.1961
1.7898 1.0334 11.6869
```

Summary:
**SG**: P-3m1, No. 164
**Uncorrected energy**: -7.60 eV/atom
**Magnetization**: 0.0012 μB per atom
**Energy above the lowest structure with this stoichiometry**: 1 meV per atom

---

DFT (PBE) results for a relaxed structure of Ta4SiSnC2.

```
Ta4SiSnC2
1.0
-0.8550 -2.3300 -2.0598
2.6065 -0.3712 1.8632
-7.4806 -5.5322 9.3628
C Si Sn Ta
2 1 1 4
Cartesian
-1.9795 -1.4639 2.4776
-5.5011 -4.0683 6.8852
-2.2877 -3.7902 5.2369
0.2988 -1.6771 -0.7522
0.1321 -2.0008 2.2084
-2.3620 -3.6448 2.5781
-4.5210 -5.2415 5.2804
-4.7074 -5.5797 8.2655
```

Summary:
**SG**: P-6m2, No. 187
**Uncorrected energy**: -9.85 eV/atom
**Magnetization**: 0.0013 μB per atom

---

DFT (PBE) results for a relaxed structure of SiSnW4C2.

```
SiSnW4C2
1.0
-0.3084 1.5378 -2.7763
-0.9439 -3.0351 0.2549
-11.6545 3.9154 3.4635
C Si Sn W
2 1 1 4
Cartesian
-3.8056 -0.4783 0.1579
-9.3131 1.3720 1.7946
-6.3475 1.9712 -0.0341
0.0000 0.0000 0.0000
-2.6511 0.7293 -1.1327
-4.1705 1.4011 1.2394
-7.4840 2.5143 2.2241
-10.0440 3.2130 1.0644
```

Summary:
**SG**: P-6m2, No. 187
**Uncorrected energy**: -9.79 eV/atom
**Magnetization**: 0.0014 μB per atom

---

DFT (PBE) results for a relaxed structure of Ta4TlSiC2.

```
Ta4TlSiC2
1.0
3.2148 0.0000 0.0000
-1.6074 2.7841 0.0000
0.0000 0.0000 13.4245
C Si Ta Tl
2 1 4 1
Cartesian
1.6074 0.9280 3.6036
1.6074 0.9280 9.8209
0.0000 0.0000 6.7122
0.0000 0.0000 2.4424
0.0000 1.8561 4.8182
0.0000 1.8561 8.6063
0.0000 0.0000 10.9821
0.0000 1.8561 0.0000
```

Summary:
**SG**: P-6m2, No. 187
**Uncorrected energy**: -9.58 eV/atom
**Magnetization**: 0.0004 μB per atom

---

DFT (PBE) results for a relaxed structure of Ta4Si3W2C3.

```
Ta4Si3W2C3
1.0
-1.2964 5.0040 -1.8996
-5.1303 1.9195 0.5700
5.2081 2.6316 11.3723
C Si Ta W
6 6 8 4
Cartesian
-0.6482 2.5020 -0.9498
-2.7740 4.8565 -1.4167
0.9355 4.9791 4.4952
0.0389 2.2755 5.9711
-2.1541 4.5760 5.5475
1.5554 4.6985 11.4594
-1.2053 2.8936 2.5247
-0.4596 5.2876 1.2432
-3.1057 4.9528 2.1464
1.8871 4.6023 7.8962
-0.7590 4.2675 8.7995
-0.0133 6.6615 7.5180
0.0968 1.3295 0.7872
-4.1847 5.9523 -0.1018
1.0115 2.8095 4.0399
-3.2800 7.4242 3.1574
2.0614 2.1308 6.8853
-2.2302 6.7455 6.0028
2.9661 3.6028 10.1444
-1.3154 8.2256 9.2554
-2.0852 3.5604 0.1752
-1.0912 5.1989 3.7650
-0.1275 4.3562 6.2777
0.8666 5.9947 9.8675
```

Summary:
**SG**: C2/c, No. 15
**Uncorrected energy**: -10.12 eV/atom
**Magnetization**: 0.0001 μB per atom

---

DFT (PBE) results for a relaxed structure of Ta4ZnSiC2.

```
Ta4ZnSiC2
1.0
3.1733 0.0000 0.0000
-1.5867 2.7482 0.0000
0.0000 0.0000 13.0348
C Si Ta Zn
2 1 4 1
Cartesian
0.0000 1.8321 3.1563
0.0000 1.8321 9.8785
0.0000 0.0000 0.0000
1.5867 0.9161 1.9199
0.0000 0.0000 4.3302
0.0000 0.0000 8.7046
1.5867 0.9161 11.1149
1.5867 0.9161 6.5174
```

Summary:
**SG**: P-6m2, No. 187
**Uncorrected energy**: -9.51 eV/atom
**Magnetization**: 0.0003 μB per atom

---

DFT (PBE) results for a relaxed structure of Zr4Ta2Si3C3.

```
Zr4Ta2Si3C3
1.0
4.8840 -2.8180 0.0000
4.8840 2.8180 0.0000
-3.2980 0.0000 13.3781
C Si Ta Zr
6 6 4 8
Cartesian
2.4420 -1.4090 0.0000
5.6832 -1.3876 0.0000
4.0847 1.3876 0.0000
4.0342 1.3876 6.6890
0.7930 1.4090 6.6890
2.4357 -1.3876 6.6890
5.4022 0.3015 3.3344
4.0595 -2.0316 3.3445
2.7167 0.3015 3.3546
3.7532 -0.3015 10.0234
2.4105 2.0316 10.0336
1.0677 -0.3015 10.0437
4.0464 -0.4827 1.1330
4.0725 -0.4827 5.5560
2.3974 0.4827 7.8220
2.4235 0.4827 12.2451
7.3435 -0.4801 1.3527
0.8151 -0.4487 1.3538
7.3038 -0.4487 5.3352
0.7754 -0.4801 5.3363
5.6945 0.4801 8.0418
-0.8339 0.4487 8.0429
5.6548 0.4487 12.0242
-0.8736 0.4801 12.0253
```

Summary:
**SG**: C2/c, No. 15
**Uncorrected energy**: -9.21 eV/atom
**Magnetization**: 0.0000 μB per atom

---

DFT (PBE) results for a relaxed structure of TbSi3C.

```
TbSi3C
1.0
4.2641 0.0000 0.0000
0.0000 4.2641 0.0000
0.0000 0.0000 4.2641
C Si Tb
1 3 1
Cartesian
0.0000 0.0000 0.0000
2.1321 0.0000 0.0000
0.0000 2.1321 0.0000
0.0000 0.0000 2.1321
2.1321 2.1321 2.1321
```

Summary:
**SG**: Pm-3m, No. 221
**Uncorrected energy**: -5.49 eV/atom
**Magnetization**: 0.0004 μB per atom

---

DFT (PBE) results for a relaxed structure of Tb2Si2C3.

```
Tb2Si2C3
1.0
-4.1775 3.5420 2.2644
-4.3175 0.7496 3.9903
4.1475 1.4784 2.7286
C Si Tb
3 2 2
Cartesian
0.0000 0.0000 0.0000
-1.6203 1.8434 2.8512
-2.7273 3.9266 6.1321
-6.6576 4.3876 6.5591
2.3101 1.3824 2.4242
-4.7102 3.1322 4.6858
0.3627 2.6378 4.2975
```

Summary:
**SG**: C2/m, No. 12
**Uncorrected energy**: -7.11 eV/atom
**Magnetization**: 0.0001 μB per atom

---

DFT (PBE) results for a relaxed structure of Tb2SiW2C2.

```
Tb2SiW2C2
1.0
-5.6835 4.2664 0.4060
-6.4597 1.7566 2.4198
4.2787 1.5864 3.6263
C Si Tb W
2 1 2 2
Cartesian
-8.0025 4.9265 3.0553
0.1380 2.6829 3.3968
0.0000 0.0000 0.0000
-3.6552 2.5338 1.7489
-4.2094 5.0756 4.7032
-0.6585 1.5811 1.7167
-7.2060 6.0282 4.7354
```

Summary:
**SG**: C2/m, No. 12
**Uncorrected energy**: -8.67 eV/atom
**Magnetization**: 0.0001 μB per atom

---

DFT (PBE) results for a relaxed structure of Tm2Si2TcWC.

```
Tm2Si2TcWC
1.0
5.5018 -1.9074 0.0000
5.5018 1.9074 0.0000
-4.1305 0.0000 5.6461
C Si Tc Tm W
1 2 1 2 1
Cartesian
6.8583 0.0000 5.6346
8.1820 0.0000 1.9007
-1.2397 0.0000 3.7790
4.9516 0.0000 5.1433
5.0727 0.0000 1.6689
1.7704 0.0000 3.9782
1.8969 0.0000 0.4796
```

Summary:
**SG**: Cm, No. 8
**Uncorrected energy**: -8.08 eV/atom
**Magnetization**: 0.0003 μB per atom

---

DFT (PBE) results for a relaxed structure of TlSiW4C2.

```
TlSiW4C2
1.0
-1.6976 1.4257 2.2575
-1.4055 -1.9937 -2.0150
2.4582 -9.9563 8.1364
C Si Tl W
2 1 1 4
Cartesian
-0.9317 -3.1671 1.2994
0.3843 -8.4971 5.6552
0.0000 0.0000 0.0000
-0.3711 -4.6923 4.9015
-1.2553 -1.1113 1.9750
0.7700 -3.1187 2.5486
1.6882 -6.8377 5.5878
0.5130 -8.2733 7.8279
```

Summary:
**SG**: P-6m2, No. 187
**Uncorrected energy**: -9.52 eV/atom
**Magnetization**: 0.0010 μB per atom

---

DFT (PBE) results for a relaxed structure of SiW2C.

```
SiW2C
1.0
1.3887 -1.2239 5.0868
-2.6738 -3.8687 2.6805
8.3902 -6.7194 -6.7792
C Si W
6 6 12
Cartesian
-1.3369 -1.9344 1.3403
0.4465 -1.4946 3.8375
4.4317 -5.6763 1.7059
4.8894 -3.9716 -0.8462
2.6734 -6.1357 -0.7179
6.6586 -10.3174 -2.8495
1.5976 -4.8720 3.7756
-0.3120 -5.3766 1.1422
2.0584 -3.0946 1.0439
5.0467 -8.7174 -0.0559
7.4171 -6.4354 -0.1542
5.5075 -6.9400 -2.7876
-0.5782 -4.7941 5.2390
0.2724 -1.4082 0.0554
-0.0655 -3.2036 2.6083
2.2922 -5.6935 1.3647
1.9484 -7.4928 3.9141
2.8162 -4.0957 -1.2593
4.2889 -7.7163 2.2474
5.1567 -4.3192 -2.9260
4.8129 -6.1185 -0.3766
7.1706 -8.6084 -1.6203
6.8326 -10.4038 0.9326
7.6832 -7.0179 -4.2510
```

Summary:
**SG**: C2/c, No. 15
**Uncorrected energy**: -10.05 eV/atom
**Magnetization**: 0.0001 μB per atom